PdPb2WCl PBE-GGA relaxed; formation energy (no corrections) = 1.173 eV/atom; magnetic moment = 0.169 μB per atom; uncorrected energy = -4.31 eV/atom
1.0
-2.606 -0.103 -4.876
-3.495 -1.744 1.905
-2.002 5.064 0.963
W Pb Cl Pd
1 2 1 1
Direct
0.000 0.500 0.000
0.500 0.000 0.000
0.000 0.000 0.500
0.000 0.000 0.000
0.500 0.500 0.500